Record 1
Below is crystalline La4Tb2Tm at its relaxed geometry, with properties calculated at the PBE-GGA level.

Structure (POSCAR):
```
La4Tb2Tm
1.0
-3.474 5.801 6.103
3.474 -5.801 6.103
3.474 5.801 -6.103
La Tb Tm
8 4 2
Cartesian
0.000 0.039 1.859 La
1.519 2.900 -0.095 La
1.955 -2.900 6.008 La
3.474 0.039 4.244 La
0.000 5.762 1.859 La
1.519 8.701 0.095 La
1.955 2.900 6.198 La
3.474 5.762 4.244 La
3.474 0.000 0.000 Tb
3.474 2.900 -2.616 Tb
0.000 0.000 6.103 Tb
0.000 2.900 8.719 Tb
-1.737 2.900 3.052 Tm
1.737 2.900 3.052 Tm
```

Calculated values
Spin magnetization: 0.00 μB/atom
ΔH_f (0 K): 218 meV/atom
Excess energy over the best structure of this formula in the dataset: 14.3 kJ per mole of atoms

Record 2
Below is crystalline BaB3Te at its relaxed geometry, with properties calculated at the PBE-GGA level.

Structure (POSCAR):
```
BaB3Te
1.0
5.164 0.000 0.000
0.000 5.164 0.000
0.000 0.000 5.164
Ba B Te
1 3 1
Cartesian
0.000 0.000 0.000 Ba
0.000 0.000 2.582 B
0.000 2.582 0.000 B
2.582 0.000 0.000 B
2.582 2.582 2.582 Te
```

Calculated values
Spin magnetization: 0.00 μB/atom
Raw formation energy: 13.33 eV/f.u.
Excess energy over the best structure of this formula in the dataset: 108.3 kJ per mole of atoms

Record 3
Below is crystalline Tb6PmIn2 at its relaxed geometry, with properties calculated at the PBE-GGA level.

Structure (POSCAR):
```
Tb6PmIn2
1.0
-2.816 2.816 10.677
2.816 -2.816 10.677
2.816 2.816 -10.677
Tb Pm In
6 1 2
Cartesian
1.713 -1.713 9.253 Tb
2.816 0.000 5.339 Tb
1.102 1.102 1.424 Tb
-1.713 1.713 9.253 Tb
0.000 2.816 5.339 Tb
1.713 1.713 12.102 Tb
0.000 0.000 10.677 Pm
0.000 0.000 4.027 In
0.000 0.000 17.328 In
```

Calculated values
Spin magnetization: 0.00 μB/atom
ΔH_f (0 K): 521 meV/atom
Excess energy over the best structure of this formula in the dataset: 69.0 kJ per mole of atoms